A geometry-optimized Tl2H4Pd3 structure. Source: the Alexandria database, functional PBE-GGA.

Calculated values
As for the space group: Fmmm, No. 69. The calculation puts the volume at 132 Å³ per cell. For the total energy, the calculation gives -34.05 eV/cell. Its magnetic moment is 0.0 μB/f.u. The calculation puts the density at 9.21 g/cm3.

Cell: 6.9541 5.8058 5.4460 Å, 76.27 54.20 49.53°
Fractional coordinates of all 9 atoms:
1 Tl 0.1600 0.1600 0.8400
2 Tl 0.8400 0.8400 0.1600
3 H 0.2275 0.5707 0.4293
4 H 0.4293 0.7725 0.2275
5 H 0.5707 0.2275 0.7725
6 H 0.7725 0.4293 0.5707
7 Pd 0.0000 0.0000 0.5000
8 Pd 0.5000 0.5000 0.0000
9 Pd 0.5000 0.5000 0.5000